The following is a DFT calculation (PBE-GGA) of crystalline BeCuPd at its relaxed geometry.

Results
* crystal system: monoclinic
* distance to the lowest polymorph of the same formula: 0.135 eV per atom
* formation energy: -0.507 eV/f.u.
* DOS(E_F): 0.21 states/eV per atom

Cell lengths 6.5223, 3.7734, 3.7783 Å; angles 90.00, 124.79, 90.00 degrees
Space group Cm (No. 8)
Symmetry-distinct sites (fractional):
Be: 0.0000 0.0000 0.0000 (multiplicity 2)
Cu: 0.2500 0.5000 0.2507 (multiplicity 2)
Pd: 0.2499 0.0000 0.7488 (multiplicity 2)

***

The following is a DFT calculation (PBE-GGA) of crystalline SmEuS2 at its relaxed geometry.

Results
* crystal system: trigonal
* distance to the lowest polymorph of the same formula: 0.000 eV per atom
* ΔE_f (raw): -2093 meV/atom
* DOS(E_F): 0.38 states/eV per atom

Cell lengths 4.0503, 4.0503, 20.0952 Å; angles 90.00, 90.00, 120.00 degrees
Space group R-3m (No. 166, hexagonal axes)
Symmetry-distinct sites (fractional):
Sm: 0.0000 0.0000 0.0000 (multiplicity 3)
Eu: 0.0000 0.0000 0.5000 (multiplicity 3)
S: 0.0000 0.0000 0.2521 (multiplicity 6)

***

The following is a DFT calculation (PBE-GGA) of crystalline Ac6TbSm2 at its relaxed geometry.

Results
* crystal system: monoclinic
* formation energy: 1.379 eV/f.u.
* DOS(E_F): 1.63 states/eV per atom

Cell lengths 15.2675, 12.6172, 7.8035 Å; angles 90.00, 90.22, 90.00 degrees
Space group C2/c (No. 15)
Symmetry-distinct sites (fractional):
Ac: 0.1022 0.0043 0.1307 (multiplicity 8)
Ac: 0.1176 0.2702 0.3898 (multiplicity 8)
Ac: 0.1407 0.2553 0.8790 (multiplicity 8)
Tb: 0.0000 0.4770 0.7500 (multiplicity 4)
Sm: 0.1996 0.4951 0.1077 (multiplicity 8)

***

The following is a DFT calculation (PBE-GGA) of crystalline Sr2HfNi at its relaxed geometry.

Results
* crystal system: cubic
* distance to the lowest polymorph of the same formula: 0.406 eV per atom
* formation energy: 3.510 eV/f.u.
* DOS(E_F): 1.59 states/eV per atom

Cell lengths 7.7245, 7.7245, 7.7245 Å; angles 90.00, 90.00, 90.00 degrees
Space group Fm-3m (No. 225)
Symmetry-distinct sites (fractional):
Sr: 0.2500 0.2500 0.2500 (multiplicity 8)
Hf: 0.0000 0.0000 0.0000 (multiplicity 4)
Ni: 0.0000 0.0000 0.5000 (multiplicity 4)

***

The following is a DFT calculation (PBE-GGA) of crystalline NdSiIr at its relaxed geometry.

Results
* crystal system: trigonal
* ΔE_f (raw): -573 meV/atom
* DOS(E_F): 0.70 states/eV per atom

Cell lengths 3.8380, 3.8380, 15.9900 Å; angles 90.00, 90.00, 120.00 degrees
Space group R3m (No. 160, hexagonal axes)
Symmetry-distinct sites (fractional):
Nd: 0.0000 0.0000 0.0000 (multiplicity 3)
Si: 0.0000 0.0000 0.1904 (multiplicity 3)
Ir: 0.0000 0.0000 0.8034 (multiplicity 3)

***

The following is a DFT calculation (PBE-GGA) of crystalline Ce2SnRh at its relaxed geometry.

Results
* crystal system: tetragonal
* formation energy: -2.519 eV/f.u.
* DOS(E_F): 2.34 states/eV per atom

Cell lengths 3.3582, 3.3582, 8.4884 Å; angles 90.00, 90.00, 90.00 degrees
Space group P4/mmm (No. 123)
Symmetry-distinct sites (fractional):
Ce: 0.0000 0.0000 0.2157 (multiplicity 2)
Sn: 0.5000 0.5000 0.5000 (multiplicity 1)
Rh: 0.5000 0.5000 0.0000 (multiplicity 1)

***

The following is a DFT calculation (PBE-GGA) of crystalline MgSn2Au2 at its relaxed geometry.

Results
* crystal system: tetragonal
* distance to the lowest polymorph of the same formula: 0.000 eV per atom
* formation energy: -1.031 eV/f.u.
* DOS(E_F): 0.55 states/eV per atom

Cell lengths 7.3444, 7.3444, 4.1913 Å; angles 90.00, 90.00, 90.00 degrees
Space group P4/mbm (No. 127)
Symmetry-distinct sites (fractional):
Mg: 0.0000 0.0000 0.0000 (multiplicity 2)
Sn: 0.1661 0.3339 0.5000 (multiplicity 4)
Au: 0.1424 0.6424 0.0000 (multiplicity 4)

***

The following is a DFT calculation (PBE-GGA) of crystalline Li6CdGa2 at its relaxed geometry.

Results
* crystal system: monoclinic
* formation energy: -2.151 eV/f.u.
* DOS(E_F): 0.35 states/eV per atom

Cell lengths 13.6764, 7.8942, 2.7209 Å; angles 90.00, 90.07, 90.00 degrees
Space group C2/m (No. 12)
Symmetry-distinct sites (fractional):
Li: 0.0000 0.1594 0.0000 (multiplicity 4)
Li: 0.1703 0.3297 0.9969 (multiplicity 8)
Cd: 0.0000 0.5000 0.5000 (multiplicity 2)
Ga: 0.1667 0.0000 0.5000 (multiplicity 4)

***

The following is a DFT calculation (PBE-GGA) of crystalline TbTm6Sc at its relaxed geometry.

Results
* crystal system: monoclinic
* distance to the lowest polymorph of the same formula: 0.006 eV per atom
* formation energy: 1.751 eV/f.u.
* DOS(E_F): 1.56 states/eV per atom

Cell lengths 6.4044, 11.3347, 6.5991 Å; angles 90.00, 91.01, 90.00 degrees
Space group C2/m (No. 12)
Symmetry-distinct sites (fractional):
Tb: 0.0000 0.0000 0.0000 (multiplicity 2)
Tm: 0.0356 0.5000 0.7475 (multiplicity 4)
Tm: 0.2038 0.2267 0.7457 (multiplicity 8)
Sc: 0.0000 0.0000 0.5000 (multiplicity 2)

***

The following is a DFT calculation (PBE-GGA) of crystalline BaYBr2 at its relaxed geometry.

Results
* crystal system: cubic
* distance to the lowest polymorph of the same formula: 0.293 eV per atom
* ΔE_f (raw): -922 meV/atom
* DOS(E_F): 0.95 states/eV per atom

Cell lengths 7.7512, 7.7512, 7.7512 Å; angles 90.00, 90.00, 90.00 degrees
Space group Fm-3m (No. 225)
Symmetry-distinct sites (fractional):
Ba: 0.0000 0.0000 0.0000 (multiplicity 4)
Y: 0.0000 0.0000 0.5000 (multiplicity 4)
Br: 0.2500 0.2500 0.2500 (multiplicity 8)

***

The following is a DFT calculation (PBE-GGA) of crystalline Sr3Mg3In8 at its relaxed geometry.

Results
* crystal system: orthorhombic
* formation energy: -4.583 eV/f.u.
* DOS(E_F): 0.22 states/eV per atom

Cell lengths 4.9625, 10.8948, 14.4327 Å; angles 90.00, 90.00, 90.00 degrees
Space group Immm (No. 71)
Symmetry-distinct sites (fractional):
Sr: 0.0000 0.0000 0.0000 (multiplicity 2)
Sr: 0.0000 0.0000 0.2934 (multiplicity 4)
Mg: 0.0000 0.1785 0.5000 (multiplicity 4)
Mg: 0.0000 0.5000 0.0000 (multiplicity 2)
In: 0.0000 0.2878 0.1402 (multiplicity 8)
In: 0.0000 0.3646 0.3460 (multiplicity 8)

***

The following is a DFT calculation (PBE-GGA) of crystalline Pm3Pd5 at its relaxed geometry.

Results
* crystal system: orthorhombic
* distance to the lowest polymorph of the same formula: 0.084 eV per atom
* formation energy: -6.020 eV/f.u.
* DOS(E_F): 0.54 states/eV per atom

Cell lengths 7.2258, 9.3562, 5.0082 Å; angles 90.00, 90.00, 90.00 degrees
Space group Cmmm (No. 65)
Symmetry-distinct sites (fractional):
Pm: 0.0000 0.0000 0.0000 (multiplicity 2)
Pm: 0.0000 0.2969 0.5000 (multiplicity 4)
Pd: 0.0000 0.5000 0.0000 (multiplicity 2)
Pd: 0.2022 0.0000 0.5000 (multiplicity 4)
Pd: 0.2500 0.2500 0.0000 (multiplicity 4)

***

The following is a DFT calculation (PBE-GGA) of crystalline SrNi2WAu at its relaxed geometry.

Results
* crystal system: tetragonal
* formation energy: 8.139 eV/f.u.
* DOS(E_F): 1.10 states/eV per atom

Cell lengths 4.8079, 4.8079, 5.3869 Å; angles 90.00, 90.00, 90.00 degrees
Space group P4/mmm (No. 123)
Symmetry-distinct sites (fractional):
Sr: 0.0000 0.0000 0.0000 (multiplicity 1)
Ni: 0.0000 0.5000 0.5000 (multiplicity 2)
W: 0.5000 0.5000 0.0000 (multiplicity 1)
Au: 0.0000 0.0000 0.5000 (multiplicity 1)

***

The following is a DFT calculation (PBE-GGA) of crystalline GaTcAg2Pb at its relaxed geometry.

Results
* crystal system: tetragonal
* formation energy: 7.265 eV/f.u.
* DOS(E_F): 0.67 states/eV per atom

Cell lengths 5.3582, 5.3582, 5.4141 Å; angles 90.00, 90.00, 90.00 degrees
Space group P4/mmm (No. 123)
Symmetry-distinct sites (fractional):
Ga: 0.0000 0.0000 0.0000 (multiplicity 1)
Tc: 0.5000 0.5000 0.0000 (multiplicity 1)
Ag: 0.0000 0.5000 0.5000 (multiplicity 2)
Pb: 0.0000 0.0000 0.5000 (multiplicity 1)

***

The following is a DFT calculation (PBE-GGA) of crystalline Ba3Ag5Te12 at its relaxed geometry.

Results
* crystal system: cubic
* ΔE_f (raw): -282 meV/atom
* DOS(E_F): 1.03 states/eV per atom

Cell lengths 17.9741, 17.9741, 17.9741 Å; angles 90.00, 90.00, 90.00 degrees
Space group Ia-3d (No. 230)
Symmetry-distinct sites (fractional):
Ba: 0.0000 0.2500 0.1250 (multiplicity 24)
Ag: 0.0000 0.0000 0.0000 (multiplicity 16)
Ag: 0.0000 0.2500 0.3750 (multiplicity 24)
Te: 0.0290 0.0566 0.6434 (multiplicity 96)

***

The following is a DFT calculation (PBE-GGA) of crystalline AcCu3Sb3 at its relaxed geometry.

Results
* crystal system: cubic
* ΔE_f (raw): -145 meV/atom
* DOS(E_F): 0.35 states/eV per atom

Cell lengths 7.1017, 7.1017, 7.1017 Å; angles 90.00, 90.00, 90.00 degrees
Space group Pm-3n (No. 223)
Symmetry-distinct sites (fractional):
Ac: 0.0000 0.0000 0.0000 (multiplicity 2)
Cu: 0.0000 0.2500 0.5000 (multiplicity 6)
Sb: 0.0000 0.5000 0.2500 (multiplicity 6)

***

The following is a DFT calculation (PBE-GGA) of crystalline SrCdAgGe2 at its relaxed geometry.

Results
* crystal system: tetragonal
* formation energy: -1.705 eV/f.u.
* DOS(E_F): 0.31 states/eV per atom

Cell lengths 4.5211, 4.5211, 11.3420 Å; angles 90.00, 90.00, 90.00 degrees
Space group I-4m2 (No. 119)
Symmetry-distinct sites (fractional):
Sr: 0.0000 0.0000 0.0000 (multiplicity 2)
Cd: 0.0000 0.5000 0.7500 (multiplicity 2)
Ag: 0.0000 0.5000 0.2500 (multiplicity 2)
Ge: 0.0000 0.0000 0.3895 (multiplicity 4)

***

The following is a DFT calculation (PBE-GGA) of crystalline AcPrCu4 at its relaxed geometry.

Results
* crystal system: orthorhombic
* distance to the lowest polymorph of the same formula: 0.000 eV per atom
* formation energy: -1.195 eV/f.u.
* DOS(E_F): 0.41 states/eV per atom

Cell lengths 3.9547, 4.4005, 7.4344 Å; angles 90.00, 90.00, 90.00 degrees
Space group Pmmm (No. 47)
Symmetry-distinct sites (fractional):
Ac: 0.0000 0.0000 0.0000 (multiplicity 1)
Pr: 0.0000 0.5000 0.5000 (multiplicity 1)
Cu: 0.5000 0.0000 0.3358 (multiplicity 2)
Cu: 0.5000 0.5000 0.1732 (multiplicity 2)

***

The following is a DFT calculation (PBE-GGA) of crystalline CdSeF2 at its relaxed geometry.

Results
* crystal system: trigonal
* distance to the lowest polymorph of the same formula: 0.000 eV per atom
* ΔE_f (raw): -1036 meV/atom
* DOS(E_F): 0.27 states/eV per atom

Cell lengths 3.0615, 3.0615, 24.9202 Å; angles 90.00, 90.00, 120.00 degrees
Space group R-3m (No. 166, hexagonal axes)
Symmetry-distinct sites (fractional):
Cd: 0.0000 0.0000 0.0000 (multiplicity 3)
Se: 0.0000 0.0000 0.5000 (multiplicity 3)
F: 0.0000 0.0000 0.4217 (multiplicity 6)

***

The following is a DFT calculation (PBE-GGA) of crystalline Sc2AsPb at its relaxed geometry.

Results
* crystal system: trigonal
* distance to the lowest polymorph of the same formula: 0.776 eV per atom
* formation energy: -0.408 eV/f.u.
* DOS(E_F): 0.84 states/eV per atom

Cell lengths 3.3804, 3.3804, 29.3480 Å; angles 90.00, 90.00, 120.00 degrees
Space group R3m (No. 160, hexagonal axes)
Symmetry-distinct sites (fractional):
Sc: 0.0000 0.0000 0.0000 (multiplicity 3)
Sc: 0.0000 0.0000 0.2450 (multiplicity 3)
As: 0.0000 0.0000 0.7358 (multiplicity 3)
Pb: 0.0000 0.0000 0.4880 (multiplicity 3)

***

The following is a DFT calculation (PBE-GGA) of crystalline Er5InN6 at its relaxed geometry.

Results
* crystal system: monoclinic
* ΔE_f (raw): -1434 meV/atom

Cell lengths 5.9197, 10.2398, 5.9170 Å; angles 90.00, 109.57, 90.00 degrees
Space group C2/m (No. 12)
Symmetry-distinct sites (fractional):
Er: 0.0000 0.0000 0.0000 (multiplicity 2)
Er: 0.0000 0.1672 0.5000 (multiplicity 4)
Er: 0.0000 0.3342 0.0000 (multiplicity 4)
In: 0.0000 0.5000 0.5000 (multiplicity 2)
N: 0.2446 0.0000 0.7565 (multiplicity 4)
N: 0.2459 0.1702 0.2477 (multiplicity 8)

***

The following is a DFT calculation (PBE-GGA) of crystalline PrGdPd2 at its relaxed geometry.

Results
* crystal system: tetragonal
* distance to the lowest polymorph of the same formula: 0.002 eV per atom
* formation energy: -3.061 eV/f.u.
* DOS(E_F): 0.92 states/eV per atom

Cell lengths 5.1312, 5.1312, 3.5293 Å; angles 90.00, 90.00, 90.00 degrees
Space group P4/mmm (No. 123)
Symmetry-distinct sites (fractional):
Pr: 0.0000 0.0000 0.0000 (multiplicity 1)
Gd: 0.5000 0.5000 0.0000 (multiplicity 1)
Pd: 0.0000 0.5000 0.5000 (multiplicity 2)